Here is a relaxed structure of CsNaTePt from OQMD via LeMat-Bulk. Energies are from GGA-PBE.

Calculated values
Crystal system ... cubic
Symmetry ... F-43m, No. 216
Polymorph energy (0 for the lowest one) ... 0 meV/atom

Structure (POSCAR):
```
CsNaTePt
1.0
0.0000 3.7818 3.7818
3.7818 0.0000 3.7818
3.7818 3.7818 0.0000
Cs Na Te Pt
1 1 1 1
direct
0.0000 0.0000 0.0000
0.7500 0.7500 0.7500
0.5000 0.5000 0.5000
0.2500 0.2500 0.2500
```



Here is a relaxed structure of PrGe4Se3 from OQMD via LeMat-Bulk. Energies are from GGA-PBE.

Calculated values
Crystal system ... monoclinic
Symmetry ... Pm, No. 6
Total energy ... -0.33956 Ry/atom

Structure (POSCAR):
```
PrGe4Se3
1.0
5.8131 0.0000 0.0000
0.0000 4.0465 0.0000
-0.5513 0.0000 8.5755
Pr Ge Se
1 4 3
direct
0.0000 0.0000 0.0000
0.1095 0.0000 0.6358
0.3990 0.5000 0.8944
0.7788 0.0000 0.4034
0.9636 0.5000 0.2831
0.2933 0.5000 0.4907
0.5007 0.0000 0.0996
0.7734 0.5000 0.7811
```



Here is a relaxed structure of Y3Cd2InAu3 from OQMD via LeMat-Bulk. Energies are from GGA-PBE.

Calculated values
Crystal system ... orthorhombic
Symmetry ... Amm2, No. 38
Total energy ... -0.32720 Ry/atom

Structure (POSCAR):
```
Y3Cd2InAu3
1.0
3.9020 0.0000 0.0000
0.0000 6.7968 3.9178
0.0000 -6.7968 3.9178
Y Cd In Au
3 2 1 3
direct
0.0000 0.0000 0.0000
0.0000 0.1969 0.6041
0.0000 0.6041 0.1969
0.5000 0.5999 0.8648
0.5000 0.8648 0.5999
0.5000 0.3390 0.3390
0.0000 0.6000 0.6000
0.5000 0.2679 0.9365
0.5000 0.9365 0.2679
```



Number 1: magnetic moment 0.000 μB/atom. Number 2: magnetic moment 0.001 μB/atom. Number 3: magnetic moment 0.001 μB/atom.